Entry from Alexandria: crystalline LiGa7Cu5 at its relaxed geometry (PBE-GGA).

- energy (eV per formula unit) = -45.27
- energy of formation (meV/atom) = -130.2
- calculated density (g cm⁻³) = 6.9
- spin magnetization (μB/cell) = 0.0

Cell lengths 5.1368, 6.6867, 6.6867 Å; angles 83.12, 67.41, 67.41 degrees
Closest atoms and distances in Å follow each position.
Fractional positions:
Ga 0.3428 0.6572 0.6572  1 Ga 2.61, 6 Cu 2.69-2.71, 1 Li 2.85
Ga 0.6463 0.3537 0.3537  3 Ga 2.61-2.75, 4 Cu 2.70
Ga 0.5075 0.8100 0.1749  5 Cu 2.53-2.62, 1 Ga 2.66
Ga 0.2618 0.2382 0.2382  4 Cu 2.54, 6 Ga 2.66-2.75
Ga 0.5075 0.1749 0.8100  5 Cu 2.53-2.62, 1 Ga 2.66
Ga 0.9917 0.3430 0.6735  5 Cu 2.57-2.66, 1 Ga 2.74
Ga 0.9917 0.6735 0.3430  5 Cu 2.57-2.66, 1 Ga 2.74
Cu 0.0018 0.0026 0.4986  7 Ga 2.53-2.70, 3 Cu 2.54-2.59
Cu 0.7417 0.7583 0.7583  6 Ga 2.58-2.71, 4 Cu 2.59
Cu 0.4970 0.4986 0.0026  7 Ga 2.53-2.70, 3 Cu 2.54-2.59
Cu 0.0018 0.4986 0.0026  7 Ga 2.53-2.70, 3 Cu 2.54-2.59
Cu 0.4970 0.0026 0.4986  7 Ga 2.53-2.70, 3 Cu 2.54-2.59
Li 0.0112 0.9888 0.9888  8 Ga 2.85-3.13